i | Computed, not measured: a relaxed Ta3BMo crystal at the PBE level of DFT.

abc: 4.354 4.354 4.354
angles: 90.00 90.00 90.00
Space group Pm-3m (No. 221)
One atom of each set of equivalent atoms:
Ta: 0.000 0.000 0.500 [3 per cell]
B: 0.000 0.000 0.000 [1 per cell]
Mo: 0.500 0.500 0.500 [1 per cell]

ii | Computed, not measured: a relaxed Ta3BMo crystal at the PBE level of DFT.

abc: 4.787 4.787 4.787
angles: 90.00 90.00 90.00
Space group Pm-3m (No. 221)
One atom of each set of equivalent atoms:
Ta: 0.000 0.000 0.500 [3 per cell]
B: 0.500 0.500 0.500 [1 per cell]
Mo: 0.000 0.000 0.000 [1 per cell]

Stability verdict: i, ahead by 2.117 eV/atom

i | Computed, not measured: a relaxed TbB6Mo2 crystal at the PBE level of DFT.

abc: 3.143 7.017 8.531
angles: 90.00 90.00 90.00
Space group Immm (No. 71)
One atom of each set of equivalent atoms:
Tb: 0.000 0.000 0.000 [2 per cell]
B: 0.000 0.169 0.500 [4 per cell]
B: 0.000 0.241 0.306 [8 per cell]
Mo: 0.000 0.500 0.154 [4 per cell]

ii | Computed, not measured: a relaxed TbB6Mo2 crystal at the PBE level of DFT.

abc: 5.3781 5.3781 3.5141
angles: 90.00 90.00 120.00
Space group P6/mmm (No. 191)
One atom of each set of equivalent atoms:
Tb: 0.0000 0.0000 0.0000 [1 per cell]
B: 0.0000 0.3407 0.5000 [6 per cell]
Mo: 0.3333 0.6667 0.0000 [2 per cell]

Stability verdict: i, ahead by 0.092 eV/atom

i | Computed, not measured: a relaxed TcB3Mo crystal at the PBE level of DFT.

abc: 3.941 3.941 3.941
angles: 90.00 90.00 90.00
Space group Pm-3m (No. 221)
One atom of each set of equivalent atoms:
Tc: 0.000 0.000 0.000 [1 per cell]
B: 0.000 0.000 0.500 [3 per cell]
Mo: 0.500 0.500 0.500 [1 per cell]

ii | Computed, not measured: a relaxed TcB3Mo crystal at the PBE level of DFT.

abc: 3.984 3.984 3.984
angles: 90.00 90.00 90.00
Space group Pm-3m (No. 221)
One atom of each set of equivalent atoms:
Tc: 0.000 0.000 0.000 [1 per cell]
B: 0.000 0.500 0.500 [3 per cell]
Mo: 0.500 0.500 0.500 [1 per cell]

Stability verdict: i, ahead by 0.323 eV/atom

i | Computed, not measured: a relaxed TcB2Mo crystal at the PBE level of DFT.

abc: 5.521 5.521 5.521
angles: 90.00 90.00 90.00
Space group Fm-3m (No. 225)
One atom of each set of equivalent atoms:
Tc: 0.000 0.000 0.000 [4 per cell]
B: 0.250 0.250 0.250 [8 per cell]
Mo: 0.000 0.000 0.500 [4 per cell]

ii | Computed, not measured: a relaxed TcB2Mo crystal at the PBE level of DFT.

abc: 5.595 5.150 5.953
angles: 90.00 90.00 90.00
Space group Pnma (No. 62)
One atom of each set of equivalent atoms:
Tc: 0.193 0.250 0.180 [4 per cell]
B: 0.141 0.578 0.972 [8 per cell]
Mo: 0.042 0.250 0.690 [4 per cell]

iii | Computed, not measured: a relaxed TcB2Mo crystal at the PBE level of DFT.

abc: 3.1541 3.1541 15.2105
angles: 90.00 90.00 120.00
Space group R-3m (No. 166, hexagonal axes)
One atom of each set of equivalent atoms:
Tc: 0.0000 0.0000 0.0000 [3 per cell]
B: 0.0000 0.0000 0.2516 [6 per cell]
Mo: 0.0000 0.0000 0.5000 [3 per cell]

iv | Computed, not measured: a relaxed TcB2Mo crystal at the PBE level of DFT.

abc: 3.106 3.063 4.579
angles: 90.00 109.76 90.00
Space group Pm (No. 6)
One atom of each set of equivalent atoms:
Tc: 0.000 0.000 0.000 [1 per cell]
B: 0.296 0.000 0.598 [1 per cell]
B: 0.417 0.500 0.838 [1 per cell]
Mo: 0.713 0.500 0.435 [1 per cell]

Stability verdict: iv, ahead by 0.140 eV/atom

i | Computed, not measured: a relaxed TcB2Mo2 crystal at the PBE level of DFT.

abc: 5.961 5.961 6.373
angles: 90.00 90.00 90.00
Space group P4/mnc (No. 128)
One atom of each set of equivalent atoms:
Tc: 0.000 0.000 0.223 [4 per cell]
B: 0.114 0.386 0.250 [8 per cell]
Mo: 0.163 0.682 0.500 [8 per cell]

ii | Computed, not measured: a relaxed TcB2Mo2 crystal at the PBE level of DFT.

abc: 6.002 6.002 3.139
angles: 90.00 90.00 90.00
Space group P4/mbm (No. 127)
One atom of each set of equivalent atoms:
Tc: 0.000 0.000 0.000 [2 per cell]
B: 0.113 0.387 0.000 [4 per cell]
Mo: 0.171 0.671 0.500 [4 per cell]

Stability verdict: i, ahead by 0.005 eV/atom

i | Computed, not measured: a relaxed TcBMo crystal at the PBE level of DFT.

abc: 10.939 3.059 6.409
angles: 90.00 90.00 90.00
Space group Pmma (No. 51)
One atom of each set of equivalent atoms:
Tc: 0.120 0.000 0.068 [4 per cell]
Tc: 0.250 0.000 0.692 [2 per cell]
B: 0.088 0.000 0.443 [4 per cell]
B: 0.250 0.500 0.946 [2 per cell]
Mo: 0.043 0.500 0.709 [4 per cell]
Mo: 0.250 0.500 0.346 [2 per cell]

ii | Computed, not measured: a relaxed TcBMo crystal at the PBE level of DFT.

abc: 3.128 14.967 3.057
angles: 90.00 90.00 90.00
Space group Cmcm (No. 63)
One atom of each set of equivalent atoms:
Tc: 0.000 0.197 0.250 [4 per cell]
B: 0.000 0.034 0.250 [4 per cell]
Mo: 0.000 0.417 0.250 [4 per cell]

Stability verdict: i, ahead by 0.098 eV/atom

i | Computed, not measured: a relaxed BTeMo3 crystal at the PBE level of DFT.

abc: 4.276 4.276 4.276
angles: 90.00 90.00 90.00
Space group Pm-3m (No. 221)
One atom of each set of equivalent atoms:
B: 0.000 0.000 0.000 [1 per cell]
Te: 0.500 0.500 0.500 [1 per cell]
Mo: 0.000 0.000 0.500 [3 per cell]

ii | Computed, not measured: a relaxed BTeMo3 crystal at the PBE level of DFT.

abc: 4.862 4.862 4.862
angles: 90.00 90.00 90.00
Space group Pm-3m (No. 221)
One atom of each set of equivalent atoms:
B: 0.000 0.000 0.000 [1 per cell]
Te: 0.500 0.500 0.500 [1 per cell]
Mo: 0.000 0.500 0.500 [3 per cell]

Stability verdict: i, ahead by 2.369 eV/atom

i | Computed, not measured: a relaxed B3TeMo crystal at the PBE level of DFT.

abc: 4.290 4.290 4.290
angles: 90.00 90.00 90.00
Space group Pm-3m (No. 221)
One atom of each set of equivalent atoms:
B: 0.000 0.000 0.500 [3 per cell]
Te: 0.000 0.000 0.000 [1 per cell]
Mo: 0.500 0.500 0.500 [1 per cell]

ii | Computed, not measured: a relaxed B3TeMo crystal at the PBE level of DFT.

abc: 4.282 4.282 4.282
angles: 90.00 90.00 90.00
Space group Pm-3m (No. 221)
One atom of each set of equivalent atoms:
B: 0.000 0.000 0.500 [3 per cell]
Te: 0.500 0.500 0.500 [1 per cell]
Mo: 0.000 0.000 0.000 [1 per cell]

Stability verdict: ii, ahead by 1.112 eV/atom

i | Computed, not measured: a relaxed BTe3Mo crystal at the PBE level of DFT.

abc: 5.300 5.300 5.300
angles: 90.00 90.00 90.00
Space group Pm-3m (No. 221)
One atom of each set of equivalent atoms:
B: 0.000 0.000 0.000 [1 per cell]
Te: 0.000 0.500 0.500 [3 per cell]
Mo: 0.500 0.500 0.500 [1 per cell]

ii | Computed, not measured: a relaxed BTe3Mo crystal at the PBE level of DFT.

abc: 4.790 4.790 4.790
angles: 90.00 90.00 90.00
Space group Pm-3m (No. 221)
One atom of each set of equivalent atoms:
B: 0.000 0.000 0.000 [1 per cell]
Te: 0.000 0.000 0.500 [3 per cell]
Mo: 0.500 0.500 0.500 [1 per cell]

Stability verdict: ii, ahead by 0.222 eV/atom

i | Computed, not measured: a relaxed Ti2B2Mo crystal at the PBE level of DFT.

abc: 4.721 12.396 4.497
angles: 90.00 90.00 90.00
Space group Cmcm (No. 63)
One atom of each set of equivalent atoms:
Ti: 0.000 0.108 0.250 [4 per cell]
Ti: 0.000 0.283 0.750 [4 per cell]
B: 0.193 0.351 0.250 [8 per cell]
Mo: 0.000 0.500 0.000 [4 per cell]

ii | Computed, not measured: a relaxed Ti2B2Mo crystal at the PBE level of DFT.

abc: 6.035 6.035 3.173
angles: 90.00 90.00 90.00
Space group P4/mbm (No. 127)
One atom of each set of equivalent atoms:
Ti: 0.182 0.318 0.000 [4 per cell]
B: 0.105 0.605 0.500 [4 per cell]
Mo: 0.000 0.000 0.500 [2 per cell]

Stability verdict: ii, ahead by 0.722 eV/atom

i | Computed, not measured: a relaxed TiBMo3 crystal at the PBE level of DFT.

abc: 4.497 4.497 4.497
angles: 90.00 90.00 90.00
Space group Pm-3m (No. 221)
One atom of each set of equivalent atoms:
Ti: 0.000 0.000 0.000 [1 per cell]
B: 0.500 0.500 0.500 [1 per cell]
Mo: 0.000 0.000 0.500 [3 per cell]

ii | Computed, not measured: a relaxed TiBMo3 crystal at the PBE level of DFT.

abc: 4.226 4.226 4.226
angles: 90.00 90.00 90.00
Space group Pm-3m (No. 221)
One atom of each set of equivalent atoms:
Ti: 0.000 0.000 0.000 [1 per cell]
B: 0.500 0.500 0.500 [1 per cell]
Mo: 0.000 0.500 0.500 [3 per cell]

Stability verdict: ii, ahead by 2.142 eV/atom